Entry 1:
An optimized crystal structure of KHSe2, computed with PBE.

Output
E above lowest polymorph in eV per atom: 0.538
Total energy in eV/cell: -11.1

a b c (Å): 6.2825 6.2825 6.2825
angles (deg): 42.84 42.84 42.84
Fractional positions:
Se 0.1813 0.1813 0.1813
Se 0.8187 0.8187 0.8187
H 0.5000 0.5000 0.5000
K 0.0000 0.0000 0.0000

Entry 2:
An optimized crystal structure of AsNCl, computed with PBE.

Output
Uncorrected formation energy in eV per atom: 0.2254
E above lowest polymorph in eV per atom: 0.000
Total energy in eV/cell: -28.3

a b c (Å): 3.0898 6.3415 7.0700
angles (deg): 83.22 77.52 76.69
Fractional positions:
N 0.7878 0.3000 0.1746
Cl 0.9044 0.0172 0.2111
Cl 0.3361 0.6573 0.7470
As 0.1664 0.4489 0.2775
N 0.1137 0.2985 0.5281
As 0.5301 0.3003 0.6955

Entry 3:
An optimized crystal structure of LiCa8Mg2, computed with PBE.

Output
Total energy in eV/cell: -21.0
Formation energy in eV per atom: 0.0103

a b c (Å): 5.7169 7.9074 9.7903
angles (deg): 107.57 106.98 90.00
Fractional positions:
Mg 0.8111 0.3120 0.6221
Ca 0.8135 0.7368 0.6269
Ca 0.6649 0.9440 0.3297
Ca 0.3351 0.0560 0.6703
Ca 0.9757 0.2328 0.9513
Li 0.5000 0.0000 0.0000
Ca 0.0243 0.7672 0.0487
Ca 0.3984 0.5486 0.7969
Mg 0.1889 0.6880 0.3779
Ca 0.1865 0.2632 0.3731
Ca 0.6016 0.4514 0.2031

Entry 4:
An optimized crystal structure of BaMgPt3, computed with PBE.

Output
E above lowest polymorph in eV per atom: 1.435
Total energy in eV/cell: -15.0
Formation energy in eV per atom: 1.3350

a b c (Å): 5.3976 5.3976 5.3976
angles (deg): 90.00 90.00 90.00
Fractional positions:
Ba 0.0000 0.0000 0.0000
Pt 0.0000 0.5000 0.0000
Pt 0.5000 0.0000 0.0000
Pt 0.0000 0.0000 0.5000
Mg 0.5000 0.5000 0.5000

Entry 5:
An optimized crystal structure of CeP2Rh, computed with PBE.

Output
E above lowest polymorph in eV per atom: 0.005
Total energy in eV/cell: -28.3
Formation energy in eV per atom: -1.0593

a b c (Å): 3.9160 3.9160 5.8410
angles (deg): 70.41 70.41 60.00
Fractional positions:
Ce 0.5000 0.5000 0.5000
P 0.7291 0.7291 0.8126
P 0.2709 0.2709 0.1874
Rh 0.0000 0.0000 0.0000

Entry 6:
An optimized crystal structure of LaGdCoCu, computed with PBE.

Output
Total energy in eV/cell: -30.6
Formation energy in eV per atom: -0.0907

a b c (Å): 4.9656 4.9656 4.9656
angles (deg): 60.00 60.00 60.00
Fractional positions:
Co 0.7500 0.7500 0.7500
La 0.5000 0.5000 0.5000
Cu 0.2500 0.2500 0.2500
Gd 0.0000 0.0000 0.0000

Entry 7:
An optimized crystal structure of PrDy12Tm7, computed with PBE.

Output
E above lowest polymorph in eV per atom: 0.000
Total energy in eV/cell: -86.5
Formation energy in eV per atom: 0.2407

a b c (Å): 8.6720 8.6720 8.6720
angles (deg): 86.71 86.71 86.71
Fractional positions:
Dy 0.8965 0.6545 0.5693
Tm 0.1236 0.9971 0.6303
Dy 0.6545 0.5693 0.8965
Pr 0.0000 0.0000 0.0000
Tm 0.5000 0.5000 0.5000
Dy 0.7686 0.2400 0.6480
Dy 0.4307 0.1035 0.3455
Dy 0.2400 0.6480 0.7686
Tm 0.6303 0.1236 0.9971
Tm 0.8764 0.0029 0.3697
Dy 0.3520 0.2314 0.7600
Dy 0.5693 0.8965 0.6545
Dy 0.1035 0.3455 0.4307
Tm 0.9971 0.6303 0.1236
Dy 0.7600 0.3520 0.2314
Tm 0.0029 0.3697 0.8764
Dy 0.6480 0.7686 0.2400
Dy 0.2314 0.7600 0.3520
Tm 0.3697 0.8764 0.0029
Dy 0.3455 0.4307 0.1035

Entry 8:
An optimized crystal structure of Ag3POs, computed with PBE.

Output
E above lowest polymorph in eV per atom: 0.000
Total energy in eV/cell: -18.8
Formation energy in eV per atom: 1.2847

a b c (Å): 4.6211 4.6211 4.6211
angles (deg): 90.00 90.00 90.00
Fractional positions:
Os 0.5000 0.5000 0.5000
Ag 0.5000 0.0000 0.0000
Ag 0.0000 0.5000 0.0000
Ag 0.0000 0.0000 0.5000
P 0.0000 0.0000 0.0000

Entry 9:
An optimized crystal structure of Pm13Sn2, computed with PBE.

Output
Total energy in eV/cell: -72.4
Formation energy in eV per atom: -0.1765

a b c (Å): 7.5714 8.2837 8.7747
angles (deg): 111.38 72.45 96.48
Fractional positions:
Pm 0.3566 0.5851 0.3959
Pm 0.6434 0.4149 0.6041
Sn 0.0657 0.2281 0.3887
Pm 0.6726 0.6590 0.0214
Pm 0.2102 0.7838 0.1666
Pm 0.5099 0.1365 0.2067
Pm 0.2646 0.0694 0.5930
Pm 0.1192 0.5251 0.7591
Pm 0.0000 0.0000 0.0000
Pm 0.3274 0.3410 0.9786
Pm 0.7898 0.2162 0.8334
Pm 0.7354 0.9306 0.4070
Pm 0.8808 0.4749 0.2409
Sn 0.9343 0.7719 0.6113
Pm 0.4901 0.8635 0.7933

Entry 10:
An optimized crystal structure of Ta11W5, computed with PBE.

Output
Total energy in eV/cell: -195.9
Formation energy in eV per atom: -0.0501

a b c (Å): 6.5417 6.5251 6.5415
angles (deg): 90.00 89.91 90.00
Fractional positions:
Ta 0.5050 0.5000 0.0044
Ta 0.5051 0.5000 0.4955
Ta 0.7477 0.7520 0.7479
Ta 0.7477 0.2480 0.7479
W 0.9978 0.5000 0.4972
Ta 0.9950 0.0000 0.0046
Ta 0.2521 0.7521 0.2522
W 0.5029 0.0000 0.4963
Ta 0.2521 0.2479 0.2522
W 0.7485 0.2484 0.2515
W 0.7485 0.7516 0.2515
Ta 0.9963 0.5000 0.0042
W 0.5024 0.0000 0.0025
Ta 0.9955 0.0000 0.4955
Ta 0.2517 0.2481 0.7483
Ta 0.2517 0.7519 0.7483

Entry 11:
An optimized crystal structure of K3Sr2PtO6, computed with PBE.

Output
Uncorrected formation energy in eV per atom: -1.6102
Total energy in eV/cell: -61.8

a b c (Å): 6.1365 6.1365 6.5137
angles (deg): 99.10 99.10 119.99
Fractional positions:
O 0.9359 0.6563 0.8084
Sr 0.3330 0.6670 0.0000
O 0.6563 0.9359 0.8084
O 0.0641 0.3437 0.1916
K 0.1612 0.8388 0.5000
K 0.5000 0.5000 0.5000
Sr 0.6670 0.3330 0.0000
Pt 0.0000 0.0000 0.0000
O 0.7830 0.7830 0.1890
O 0.3437 0.0641 0.1916
O 0.2170 0.2170 0.8110
K 0.8388 0.1612 0.5000

Entry 12:
An optimized crystal structure of ScTe2Ir, computed with PBE.

Output
Uncorrected formation energy in eV per atom: -0.4926
E above lowest polymorph in eV per atom: 0.191
Total energy in eV/cell: -23.4

a b c (Å): 3.6931 3.6931 7.1488
angles (deg): 90.00 90.00 90.00
Fractional positions:
Ir 0.0000 0.0000 0.5078
Sc 0.5000 0.5000 0.7405
Te 0.5000 0.5000 0.3496
Te 0.0000 0.0000 0.9021

Question: Number 3 is which compound?
Answer: LiCa8Mg2